[1]
Below is a relaxed structure of BeAl2W, with properties calculated at the PBE level.

SG   I4/mmm (139)
Energy of formation from the pure elements   -0.162 eV per atom

Cell lengths 4.844, 4.844, 4.844 Å; angles 135.98, 135.98, 64.00 degrees
Positions (direct):
Be (0.000, 0.000, 0.000)
Al (0.250, 0.750, 0.500)
Al (0.750, 0.250, 0.500)
W (0.500, 0.500, 0.000)

[2]
Below is a relaxed structure of HfTi2AgN, with properties calculated at the PBE level.

E above lowest polymorph   2.191 eV per atom
Formation energy (no corrections)   7.12 eV/f.u.
SG   P4/mmm (123)

Cell lengths 5.132, 5.132, 3.793 Å; angles 90.00, 90.00, 90.00 degrees
Positions (direct):
Hf (0.000, 0.000, 0.000)
Ti (0.000, 0.500, 0.500)
Ti (0.500, 0.000, 0.500)
Ag (0.500, 0.500, 0.500)
N (0.500, 0.500, 0.000)

[3]
Below is a relaxed structure of GaCuRh4, with properties calculated at the PBE level.

SG   C2/m (12)
Energy of formation from the pure elements   0.246 eV per atom

Cell lengths 4.096, 4.096, 6.990 Å; angles 106.91, 106.91, 59.87 degrees
Positions (direct):
Ga (0.000, 0.000, 0.000)
Cu (0.500, 0.500, 0.500)
Rh (0.128, 0.128, 0.383)
Rh (0.374, 0.374, 0.125)
Rh (0.626, 0.626, 0.875)
Rh (0.872, 0.872, 0.617)

[4]
Below is a relaxed structure of Tb2ErRu3, with properties calculated at the PBE level.

E above lowest polymorph   0.000 eV per atom
SG   Cmmm (65)
Energy of formation from the pure elements   -0.320 eV per atom

Cell lengths 7.593, 7.593, 3.409 Å; angles 90.00, 90.00, 143.20 degrees
Positions (direct):
Tb (0.166, 0.834, 0.000)
Tb (0.834, 0.166, 0.000)
Er (0.500, 0.500, 0.000)
Ru (0.000, 0.000, 0.500)
Ru (0.335, 0.665, 0.500)
Ru (0.665, 0.335, 0.500)

[5]
Below is a relaxed structure of MnCoSbI2, with properties calculated at the PBE level.

E above lowest polymorph   0.000 eV per atom
Formation energy (no corrections)   4.57 eV/f.u.
SG   P4/mmm (123)

Cell lengths 5.387, 5.387, 5.353 Å; angles 90.00, 90.00, 90.00 degrees
Positions (direct):
Mn (0.000, 0.000, 0.000)
Co (0.500, 0.500, 0.500)
Sb (0.000, 0.000, 0.500)
I (0.000, 0.500, 0.000)
I (0.500, 0.000, 0.000)

[6]
Below is a relaxed structure of MnTl2Zn, with properties calculated at the PBE level.

E above lowest polymorph   0.139 eV per atom
SG   Cmmm (65)
Energy of formation from the pure elements   0.400 eV per atom

Cell lengths 3.508, 3.508, 7.123 Å; angles 90.00, 90.00, 91.08 degrees
Positions (direct):
Mn (0.000, 0.000, 0.000)
Tl (0.500, 0.500, 0.246)
Tl (0.500, 0.500, 0.754)
Zn (0.000, 0.000, 0.500)

[7]
Below is a relaxed structure of InNi2Bi2, with properties calculated at the PBE level.

E above lowest polymorph   0.019 eV per atom
SG   P4/mbm (127)
Energy of formation from the pure elements   0.116 eV per atom

Cell lengths 7.172, 7.172, 3.992 Å; angles 90.00, 90.00, 90.00 degrees
Positions (direct):
In (0.000, 0.000, 0.000)
In (0.500, 0.500, 0.000)
Ni (0.128, 0.372, 0.000)
Ni (0.372, 0.872, 0.000)
Ni (0.628, 0.128, 0.000)
Ni (0.872, 0.628, 0.000)
Bi (0.165, 0.665, 0.500)
Bi (0.335, 0.165, 0.500)
Bi (0.665, 0.835, 0.500)
Bi (0.835, 0.335, 0.500)

[8]
Below is a relaxed structure of IrRuW3, with properties calculated at the PBE level.

E above lowest polymorph   0.000 eV per atom
SG   Pm-3m (221)
Energy of formation from the pure elements   2.008 eV per atom

Cell lengths 4.611, 4.611, 4.611 Å; angles 90.00, 90.00, 90.00 degrees
Positions (direct):
Ir (0.000, 0.000, 0.000)
Ru (0.500, 0.500, 0.500)
W (0.000, 0.500, 0.500)
W (0.500, 0.000, 0.500)
W (0.500, 0.500, 0.000)

[9]
Below is a relaxed structure of PIrSe2, with properties calculated at the PBE level.

Formation energy (no corrections)   2.72 eV/f.u.
SG   Pmmm (47)

Cell lengths 2.991, 4.631, 4.767 Å; angles 90.00, 90.00, 90.00 degrees
Positions (direct):
P (0.000, 0.000, 0.000)
Ir (0.500, 0.000, 0.500)
Se (0.000, 0.500, 0.500)
Se (0.500, 0.500, 0.000)

[10]
Below is a relaxed structure of LiY2F, with properties calculated at the PBE level.

E above lowest polymorph   0.000 eV per atom
Formation energy (no corrections)   -3.93 eV/f.u.
SG   I-42d (122)

Cell lengths 6.352, 6.352, 6.352 Å; angles 109.58, 109.58, 109.26 degrees
Positions (direct):
Li (0.000, 0.000, 0.000)
Li (0.750, 0.250, 0.500)
Y (0.222, 0.625, 0.097)
Y (0.375, 0.472, 0.597)
Y (0.528, 0.125, 0.903)
Y (0.875, 0.778, 0.403)
F (0.250, 0.750, 0.500)
F (0.500, 0.500, 0.000)

[11]
Below is a relaxed structure of AgPPd2, with properties calculated at the PBE level.

SG   R3m (160)
Energy of formation from the pure elements   -0.181 eV per atom

Cell lengths 8.290, 8.290, 8.290 Å; angles 20.84, 20.84, 20.84 degrees
Positions (direct):
Ag (0.000, 0.000, 0.000)
P (0.167, 0.167, 0.167)
Pd (0.571, 0.571, 0.571)
Pd (0.763, 0.763, 0.763)

[12]
Below is a relaxed structure of PmGe2Pb, with properties calculated at the PBE level.

E above lowest polymorph   0.207 eV per atom
SG   R-3m (166)
Energy of formation from the pure elements   -0.143 eV per atom

Cell lengths 5.570, 5.570, 5.570 Å; angles 52.74, 52.74, 52.74 degrees
Positions (direct):
Pm (0.000, 0.000, 0.000)
Ge (0.237, 0.237, 0.237)
Ge (0.763, 0.763, 0.763)
Pb (0.500, 0.500, 0.500)

[13]
Below is a relaxed structure of Pm5Nd3Sb8, with properties calculated at the PBE level.

Formation energy (no corrections)   -19.01 eV/f.u.
SG   R-3m (166)

Cell lengths 9.012, 9.012, 9.012 Å; angles 59.99, 59.99, 59.99 degrees
Positions (direct):
Pm (0.000, 0.000, 0.000)
Pm (0.000, 0.500, 0.500)
Pm (0.500, 0.000, 0.500)
Pm (0.500, 0.500, 0.000)
Pm (0.500, 0.500, 0.500)
Nd (0.000, 0.000, 0.500)
Nd (0.000, 0.500, 0.000)
Nd (0.500, 0.000, 0.000)
Sb (0.250, 0.250, 0.749)
Sb (0.250, 0.749, 0.250)
Sb (0.251, 0.251, 0.251)
Sb (0.251, 0.750, 0.750)
Sb (0.749, 0.250, 0.250)
Sb (0.749, 0.749, 0.749)
Sb (0.750, 0.251, 0.750)
Sb (0.750, 0.750, 0.251)

[14]
Below is a relaxed structure of TeIrBr2, with properties calculated at the PBE level.

Formation energy (no corrections)   1.36 eV/f.u.
SG   I-42d (122)

Cell lengths 7.862, 7.862, 7.862 Å; angles 95.81, 95.81, 142.91 degrees
Positions (direct):
Te (0.000, 0.000, 0.000)
Te (0.750, 0.250, 0.500)
Ir (0.250, 0.750, 0.500)
Ir (0.500, 0.500, 0.000)
Br (0.374, 0.625, 0.249)
Br (0.375, 0.624, 0.749)
Br (0.376, 0.125, 0.751)
Br (0.875, 0.626, 0.251)

[15]
Below is a relaxed structure of Tb12SmTm7, with properties calculated at the PBE level.

E above lowest polymorph   0.000 eV per atom
SG   R-3 (148)
Energy of formation from the pure elements   0.303 eV per atom

Cell lengths 8.664, 8.664, 8.664 Å; angles 94.97, 94.97, 94.97 degrees
Positions (direct):
Tb (0.145, 0.472, 0.410)
Tb (0.190, 0.321, 0.751)
Tb (0.249, 0.810, 0.679)
Tb (0.321, 0.751, 0.190)
Tb (0.410, 0.145, 0.472)
Tb (0.472, 0.410, 0.145)
Tb (0.528, 0.590, 0.855)
Tb (0.590, 0.855, 0.528)
Tb (0.679, 0.249, 0.810)
Tb (0.751, 0.190, 0.321)
Tb (0.810, 0.679, 0.249)
Tb (0.855, 0.528, 0.590)
Sm (0.000, 0.000, 0.000)
Tm (0.012, 0.348, 0.078)
Tm (0.078, 0.012, 0.348)
Tm (0.348, 0.078, 0.012)
Tm (0.500, 0.500, 0.500)
Tm (0.652, 0.922, 0.988)
Tm (0.922, 0.988, 0.652)
Tm (0.988, 0.652, 0.922)

[16]
Below is a relaxed structure of Mg4Ag5, with properties calculated at the PBE level.

E above lowest polymorph   0.023 eV per atom
SG   I4/mmm (139)
Energy of formation from the pure elements   -0.157 eV per atom

Cell lengths 6.591, 6.591, 6.591 Å; angles 96.33, 96.33, 141.22 degrees
Positions (direct):
Mg (0.000, 0.317, 0.317)
Mg (0.000, 0.683, 0.683)
Mg (0.317, 0.000, 0.317)
Mg (0.683, 0.000, 0.683)
Ag (0.000, 0.000, 0.000)
Ag (0.332, 0.332, 0.664)
Ag (0.332, 0.668, 0.000)
Ag (0.668, 0.332, 0.000)
Ag (0.668, 0.668, 0.336)

[17]
Below is a relaxed structure of AcPuTlPd, with properties calculated at the PBE level.

SG   F-43m (216)
Energy of formation from the pure elements   -0.224 eV per atom

Cell lengths 5.439, 5.439, 5.439 Å; angles 60.00, 60.00, 60.00 degrees
Positions (direct):
Ac (0.000, 0.000, 0.000)
Pu (0.500, 0.500, 0.500)
Tl (0.750, 0.750, 0.750)
Pd (0.250, 0.250, 0.250)

[18]
Below is a relaxed structure of ThRhPb, with properties calculated at the PBE level.

SG   P-6m2 (187)
Energy of formation from the pure elements   -0.486 eV per atom

Cell lengths 4.774, 4.774, 3.681 Å; angles 90.00, 90.00, 120.00 degrees
Positions (direct):
Th (0.000, 0.000, 0.000)
Rh (0.667, 0.333, 0.500)
Pb (0.333, 0.667, 0.500)

[19]
Below is a relaxed structure of BeSiW, with properties calculated at the PBE level.

E above lowest polymorph   0.342 eV per atom
Formation energy (no corrections)   1.15 eV/f.u.
SG   Fmm2 (42)

Cell lengths 6.090, 5.943, 2.683 Å; angles 80.20, 74.07, 25.73 degrees
Positions (direct):
Be (0.000, 0.000, 0.000)
Si (0.339, 0.339, 0.661)
W (0.663, 0.663, 0.337)

[20]
Below is a relaxed structure of DyTmCuSi, with properties calculated at the PBE level.

E above lowest polymorph   0.000 eV per atom
Formation energy (no corrections)   -2.17 eV/f.u.
SG   Amm2 (38)

Cell lengths 4.053, 5.679, 5.679 Å; angles 41.51, 90.00, 90.00 degrees
Positions (direct):
Dy (0.000, 0.000, 0.000)
Tm (0.500, 0.720, 0.720)
Cu (0.500, 0.425, 0.425)
Si (0.000, 0.285, 0.285)

[21]
Below is a relaxed structure of LaSiI, with properties calculated at the PBE level.

Formation energy (no corrections)   -3.42 eV/f.u.
SG   R-3m (166)

Cell lengths 12.773, 12.773, 12.773 Å; angles 19.10, 19.10, 19.10 degrees
Positions (direct):
La (0.055, 0.055, 0.055)
La (0.945, 0.945, 0.945)
Si (0.335, 0.335, 0.335)
Si (0.665, 0.665, 0.665)
I (0.221, 0.221, 0.221)
I (0.779, 0.779, 0.779)

[22]
Below is a relaxed structure of SmBO2, with properties calculated at the PBE level.

Formation energy (no corrections)   -2.54 eV/f.u.
SG   R-3m (166)

Cell lengths 6.677, 6.677, 6.677 Å; angles 24.11, 24.11, 24.11 degrees
Positions (direct):
Sm (0.000, 0.000, 0.000)
B (0.500, 0.500, 0.500)
O (0.122, 0.122, 0.122)
O (0.878, 0.878, 0.878)

[23]
Below is a relaxed structure of MnFeOs2, with properties calculated at the PBE level.

SG   C2/m (12)
Energy of formation from the pure elements   0.148 eV per atom

Cell lengths 4.495, 4.495, 4.619 Å; angles 99.96, 99.96, 34.49 degrees
Positions (direct):
Mn (0.000, 0.000, 0.000)
Fe (0.500, 0.500, 0.500)
Os (0.250, 0.250, 0.747)
Os (0.750, 0.750, 0.253)

[24]
Below is a relaxed structure of YTlHg2, with properties calculated at the PBE level.

SG   I-4m2 (119)
Energy of formation from the pure elements   -0.225 eV per atom

Cell lengths 5.807, 5.807, 5.807 Å; angles 133.12, 133.12, 68.47 degrees
Positions (direct):
Y (0.000, 0.000, 0.000)
Tl (0.750, 0.250, 0.500)
Hg (0.250, 0.750, 0.500)
Hg (0.500, 0.500, 0.000)

[25]
Below is a relaxed structure of NbFe2Pd9, with properties calculated at the PBE level.

SG   P4/mmm (123)
Energy of formation from the pure elements   -0.208 eV per atom

Cell lengths 3.929, 3.929, 11.756 Å; angles 90.00, 90.00, 90.00 degrees
Positions (direct):
Nb (0.000, 0.000, 0.000)
Fe (0.000, 0.000, 0.340)
Fe (0.000, 0.000, 0.660)
Pd (0.000, 0.500, 0.168)
Pd (0.000, 0.500, 0.500)
Pd (0.000, 0.500, 0.832)
Pd (0.500, 0.000, 0.168)
Pd (0.500, 0.000, 0.500)
Pd (0.500, 0.000, 0.832)
Pd (0.500, 0.500, 0.000)
Pd (0.500, 0.500, 0.334)
Pd (0.500, 0.500, 0.666)

[26]
Below is a relaxed structure of LiPm3Sc3Se8, with properties calculated at the PBE level.

Formation energy (no corrections)   -25.70 eV/f.u.
SG   R-3m (166)

Cell lengths 8.047, 8.047, 8.047 Å; angles 59.43, 59.43, 59.43 degrees
Positions (direct):
Li (0.000, 0.000, 0.000)
Pm (0.000, 0.000, 0.500)
Pm (0.000, 0.500, 0.000)
Pm (0.500, 0.000, 0.000)
Sc (0.000, 0.500, 0.500)
Sc (0.500, 0.000, 0.500)
Sc (0.500, 0.500, 0.000)
Se (0.248, 0.248, 0.736)
Se (0.248, 0.736, 0.248)
Se (0.258, 0.258, 0.258)
Se (0.264, 0.752, 0.752)
Se (0.736, 0.248, 0.248)
Se (0.742, 0.742, 0.742)
Se (0.752, 0.264, 0.752)
Se (0.752, 0.752, 0.264)